[1]
The following is a PBE-GGA calculation of a relaxed structure of K4Te8P2Pd, from the Open Quantum Materials Database.

## Properties
- raw total energy (eV/atom) = -3.54

Unit cell a=6.957 b=7.219 c=11.519 alpha=95.66 beta=91.62 gamma=91.39
Sites, in units of the cell vectors:
K1 0.239 0.369 0.385
K2 0.244 0.760 0.991
K3 0.756 0.240 0.009
K4 0.761 0.631 0.615
Te1 0.150 0.834 0.310
Te2 0.254 0.252 0.965
Te3 0.261 0.594 0.695
Te4 0.337 0.027 0.614
Te5 0.663 0.973 0.386
Te6 0.739 0.406 0.305
Te7 0.746 0.748 0.035
Te8 0.850 0.166 0.690
P1 0.190 0.273 0.757
P2 0.810 0.727 0.243
Pd1 0.000 0.000 0.500

[2]
The following is a PBE-GGA calculation of a relaxed structure of BaAgOF, from the Open Quantum Materials Database.

## Properties
- raw total energy (eV/atom) = -4.83

Unit cell a=3.920 b=3.920 c=9.029 alpha=90.00 beta=90.00 gamma=90.00
Sites, in units of the cell vectors:
Ba1 0.250 0.250 0.188
Ba2 0.750 0.750 0.812
Ag1 0.250 0.750 0.500
Ag2 0.750 0.250 0.500
O1 0.250 0.250 0.675
O2 0.750 0.750 0.325
F1 0.250 0.750 0.000
F2 0.750 0.250 0.000

[3]
The following is a PBE-GGA calculation of a relaxed structure of CdTePdO, from the Open Quantum Materials Database.

## Properties
- energy above the most stable polymorph in this dataset (eV per atom) = 0.163

Unit cell a=7.489 b=7.489 c=5.927 alpha=90.00 beta=90.00 gamma=151.16
Sites, in units of the cell vectors:
Cd1 0.042 0.958 0.500
Cd2 0.958 0.042 0.000
Te1 0.310 0.690 0.815
Te2 0.690 0.310 0.315
Pd1 0.318 0.682 0.342
Pd2 0.682 0.318 0.842
O1 0.091 0.909 0.844
O2 0.909 0.091 0.344

[4]
The following is a PBE-GGA calculation of a relaxed structure of K3TmI6, from the Open Quantum Materials Database.

## Properties
- raw total energy (eV/atom) = -3.14

Unit cell a=8.723 b=8.723 c=8.723 alpha=61.48 beta=61.48 gamma=61.48
Sites, in units of the cell vectors:
K1 0.000 0.000 0.000
K2 0.285 0.285 0.285
K3 0.715 0.715 0.715
Tm1 0.500 0.500 0.500
I1 0.161 0.708 0.383
I2 0.292 0.617 0.839
I3 0.383 0.161 0.708
I4 0.617 0.839 0.292
I5 0.708 0.383 0.161
I6 0.839 0.292 0.617

[5]
The following is a PBE-GGA calculation of a relaxed structure of GdHoIr2, from the Open Quantum Materials Database.

## Properties
- energy above the most stable polymorph in this dataset (eV per atom) = 0.000
- energy of formation from the pure elements (eV/f.u.) = -3.18

Unit cell a=4.775 b=4.775 c=3.529 alpha=90.00 beta=90.00 gamma=90.00
Sites, in units of the cell vectors:
Gd1 0.000 0.000 0.000
Ho1 0.500 0.500 0.000
Ir1 0.000 0.500 0.500
Ir2 0.500 0.000 0.500

[6]
The following is a PBE-GGA calculation of a relaxed structure of HfNbP, from the Open Quantum Materials Database.

## Properties
- energy above the most stable polymorph in this dataset (eV per atom) = 0.328

Unit cell a=7.089 b=7.089 c=3.513 alpha=90.00 beta=90.00 gamma=120.00
Sites, in units of the cell vectors:
Hf1 0.000 0.260 0.000
Hf2 0.260 0.000 0.000
Hf3 0.740 0.740 0.000
Nb1 0.000 0.583 0.500
Nb2 0.417 0.417 0.500
Nb3 0.583 0.000 0.500
P1 0.000 0.000 0.500
P2 0.333 0.667 0.000
P3 0.667 0.333 0.000

Which formula does entry 4 have? K3TmI6

Copy entry 6 word for word.
The following is a PBE-GGA calculation of a relaxed structure of HfNbP, from the Open Quantum Materials Database.

## Properties
- energy above the most stable polymorph in this dataset (eV per atom) = 0.328

Unit cell a=7.089 b=7.089 c=3.513 alpha=90.00 beta=90.00 gamma=120.00
Sites, in units of the cell vectors:
Hf1 0.000 0.260 0.000
Hf2 0.260 0.000 0.000
Hf3 0.740 0.740 0.000
Nb1 0.000 0.583 0.500
Nb2 0.417 0.417 0.500
Nb3 0.583 0.000 0.500
P1 0.000 0.000 0.500
P2 0.333 0.667 0.000
P3 0.667 0.333 0.000